1.
DFT (GGA-PBE) results for a geometry-optimized AcTiAu structure. Values from VASP.

Values from the calculation:
- Space group: Cmmm, No. 65
- Energy of formation from the pure elements: -166 meV per atom
- Raw total energy: -5.260 eV/atom

The structure in Quantum ESPRESSO input format:
```
&SYSTEM
  ibrav = 0, nat = 6, ntyp = 3
/
ATOMIC_SPECIES
Ac 227.00 Ac.upf
Ti 47.87 Ti.upf
Au 196.97 Au.upf
CELL_PARAMETERS angstrom
2.593 -2.597 0.000
2.593 2.597 0.000
0.000 0.000 11.498
ATOMIC_POSITIONS angstrom
Ac 0.000 0.000 2.105
Ac 0.000 0.000 9.392
Ti 2.593 0.000 4.492
Ti 2.593 0.000 7.005
Au 0.000 0.000 5.749
Au 2.593 0.000 0.000
```

***

2.
DFT (GGA-PBE) results for a geometry-optimized Ac3TlAu3 structure. Values from VASP.

Values from the calculation:
- Space group: P6_3/m, No. 176
- Energy of formation from the pure elements: -556 meV per atom
- Raw total energy: -4.060 eV/atom

The structure in Quantum ESPRESSO input format:
```
&SYSTEM
  ibrav = 0, nat = 14, ntyp = 3
/
ATOMIC_SPECIES
Ac 227.00 Ac.upf
Tl 204.38 Tl.upf
Au 196.97 Au.upf
CELL_PARAMETERS angstrom
9.564 0.000 0.000
-4.782 8.282 0.000
0.000 0.000 6.314
ATOMIC_POSITIONS angstrom
Ac -1.362 2.943 1.578
Ac -1.552 7.991 1.578
Ac 1.867 2.651 4.735
Ac 2.915 5.631 1.578
Ac 6.334 0.291 4.735
Ac 6.144 5.340 4.735
Tl 0.000 5.522 4.735
Tl 4.782 2.761 1.578
Au -1.396 2.852 4.735
Au -1.614 8.066 4.735
Au 1.772 2.635 1.578
Au 3.010 5.647 4.735
Au 6.396 0.217 1.578
Au 6.178 5.430 1.578
```

***

3.
DFT (GGA-PBE) results for a geometry-optimized AcTl2Au structure. Values from VASP.

Values from the calculation:
- Energy above the most stable polymorph in this dataset: 0 meV per atom
- Space group: I4/mmm, No. 139
- Energy of formation from the pure elements: -450 meV per atom
- Raw total energy: -3.479 eV/atom

The structure in Quantum ESPRESSO input format:
```
&SYSTEM
  ibrav = 0, nat = 8, ntyp = 3
/
ATOMIC_SPECIES
Ac 227.00 Ac.upf
Tl 204.38 Tl.upf
Au 196.97 Au.upf
CELL_PARAMETERS angstrom
-2.593 2.593 8.694
2.593 -2.593 8.694
2.593 2.593 -8.694
ATOMIC_POSITIONS angstrom
Ac 0.000 0.000 2.485
Ac 0.000 0.000 14.902
Tl 2.593 0.000 0.000
Tl 0.000 0.000 6.286
Tl 0.000 2.593 0.000
Tl 0.000 0.000 11.102
Au 2.593 0.000 4.347
Au 0.000 2.593 4.347
```

***

4.
DFT (GGA-PBE) results for a geometry-optimized Ac12Tl5Au2 structure. Values from VASP.

Values from the calculation:
- Space group: C2/m, No. 12
- Energy of formation from the pure elements: -207 meV per atom
- Raw total energy: -3.769 eV/atom

The structure in Quantum ESPRESSO input format:
```
&SYSTEM
  ibrav = 0, nat = 19, ntyp = 3
/
ATOMIC_SPECIES
Ac 227.00 Ac.upf
Tl 204.38 Tl.upf
Au 196.97 Au.upf
CELL_PARAMETERS angstrom
9.224 -4.189 0.000
9.224 4.189 0.000
-1.920 0.000 10.210
ATOMIC_POSITIONS angstrom
Ac -0.324 0.000 2.895
Ac 4.436 2.051 9.087
Ac 5.700 2.053 4.296
Ac 10.828 2.053 5.914
Ac 12.093 2.051 1.123
Ac 8.452 0.000 1.740
Ac 8.077 0.000 8.470
Ac 4.436 -2.051 9.087
Ac 5.700 -2.053 4.296
Ac 10.828 -2.053 5.914
Ac 12.093 -2.051 1.123
Ac 16.852 0.000 7.315
Tl 1.650 0.000 8.656
Tl 3.061 0.000 3.752
Tl 8.264 0.000 5.105
Tl 13.468 0.000 6.458
Tl 14.878 0.000 1.554
Au 9.224 2.687 0.000
Au 9.224 -2.687 0.000
```

***

5.
DFT (GGA-PBE) results for a geometry-optimized Ac3TlAu2 structure. Values from VASP.

Values from the calculation:
- Space group: P4/mmm, No. 123
- Energy of formation from the pure elements: -637 meV per atom
- Raw total energy: -4.178 eV/atom

The structure in Quantum ESPRESSO input format:
```
&SYSTEM
  ibrav = 0, nat = 6, ntyp = 3
/
ATOMIC_SPECIES
Ac 227.00 Ac.upf
Tl 204.38 Tl.upf
Au 196.97 Au.upf
CELL_PARAMETERS angstrom
3.930 0.000 0.000
0.000 3.930 0.000
0.000 0.000 12.298
ATOMIC_POSITIONS angstrom
Ac 0.000 0.000 0.000
Ac 0.000 0.000 3.859
Ac 0.000 0.000 8.440
Tl 1.965 1.965 6.149
Au 1.965 1.965 1.976
Au 1.965 1.965 10.322
```

***

6.
DFT (GGA-PBE) results for a geometry-optimized Ac2Tl3Au2 structure. Values from VASP.

Values from the calculation:
- Space group: Cmmm, No. 65
- Energy of formation from the pure elements: -490 meV per atom
- Raw total energy: -3.614 eV/atom

The structure in Quantum ESPRESSO input format:
```
&SYSTEM
  ibrav = 0, nat = 7, ntyp = 3
/
ATOMIC_SPECIES
Ac 227.00 Ac.upf
Tl 204.38 Tl.upf
Au 196.97 Au.upf
CELL_PARAMETERS angstrom
2.378 -11.089 0.000
2.378 11.089 0.000
0.000 0.000 4.007
ATOMIC_POSITIONS angstrom
Ac 2.378 7.402 0.000
Ac 2.378 -7.402 0.000
Tl 0.000 0.000 0.000
Tl 2.378 1.608 2.003
Tl 2.378 -1.608 2.003
Au 2.378 4.708 2.003
Au 2.378 -4.708 2.003
```